12
Lattice="5.204 0.000 0.000 2.602 4.507 0.000 2.602 1.502 6.352" Properties=species:S:1:pos:R:3 comment="Mn3NbFe2 | the Alexandria database | PBE-GGA | optimized geometry" rho_g_cm3=8.23 formation_enthalpy_0k_ev_per_atom=0.137 pbc="T T T"
Mn 3.967 3.719 1.967
Mn 5.204 1.576 1.967
Mn 6.442 3.719 1.967
Mn 5.204 4.434 4.385
Mn 6.442 2.290 4.385
Mn 3.967 2.290 4.385
Nb 7.806 4.507 4.064
Nb 2.602 1.502 2.288
Fe 0.000 0.000 0.000
Fe 1.301 2.254 0.000
Fe 3.903 2.254 0.000
Fe 2.602 0.000 0.000